1.
Compound: CoC3
Source: the Alexandria database
Functional: GGA-PBE
Structure: relaxed

```
data_CoC3
_chemical_formula_sum 'Co1 C3'
_space_group_name_H-M_alt 'P 4/m m m'
_space_group_IT_number 123
_space_group_name_Hall '-P 4 2'
_cell_length_a 2.744
_cell_length_b 2.744
_cell_length_c 4.010
_cell_angle_alpha 90.00
_cell_angle_beta 90.00
_cell_angle_gamma 90.00
loop_
_atom_site_label
_atom_site_type_symbol
_atom_site_fract_x
_atom_site_fract_y
_atom_site_fract_z
Co1 Co 0.000 0.000 0.000
C1 C 0.000 0.000 0.500
C2 C 0.500 0.500 0.324
```

Energy of formation in eV per formula unit: 9.26

***

2.
Compound: NdErAgHg
Source: the Alexandria database
Functional: GGA-PBE
Structure: relaxed

```
data_NdErAgHg
_chemical_formula_sum 'Nd4 Er4 Ag4 Hg4'
_space_group_name_H-M_alt 'F -4 3 m'
_space_group_IT_number 216
_space_group_name_Hall 'F -4 2 3'
_cell_length_a 7.451
_cell_length_b 7.451
_cell_length_c 7.451
_cell_angle_alpha 90.00
_cell_angle_beta 90.00
_cell_angle_gamma 90.00
loop_
_atom_site_label
_atom_site_type_symbol
_atom_site_fract_x
_atom_site_fract_y
_atom_site_fract_z
Nd1 Nd 0.000 0.000 0.000
Er1 Er 0.000 0.000 0.500
Ag1 Ag 0.250 0.250 0.250
Hg1 Hg 0.250 0.250 0.750
```

Energy of formation in eV per formula unit: -1.51

***

3.
Compound: K2RbHgF
Source: the Alexandria database
Functional: GGA-PBE
Structure: relaxed

```
data_K2RbHgF
_chemical_formula_sum 'K2 Rb1 Hg1 F1'
_space_group_name_H-M_alt 'P 4/m m m'
_space_group_IT_number 123
_space_group_name_Hall '-P 4 2'
_cell_length_a 5.312
_cell_length_b 5.312
_cell_length_c 7.760
_cell_angle_alpha 90.00
_cell_angle_beta 90.00
_cell_angle_gamma 90.00
loop_
_atom_site_label
_atom_site_type_symbol
_atom_site_fract_x
_atom_site_fract_y
_atom_site_fract_z
K1 K 0.000 0.500 0.000
Rb1 Rb 0.000 0.000 0.500
Hg1 Hg 0.500 0.500 0.500
F1 F 0.500 0.500 0.000
```

Energy relative to the elements, uncorrected in eV/f.u.: -5.09